A plane-wave DFT calculation with PBE with a Hubbard U was carried out for a geometry-optimized NaFeRuO4 structure.

Final energy: -45.02 eV per formula unit

Unit cell a=9.4260 b=2.9853 c=10.9398 alpha=90.00 beta=90.00 gamma=90.00
Closest atoms and distances in Å follow each position.
Element x y z (fractional)
1 Na 0.2371 0.2500 0.1518  8 O 2.37-2.63
2 Na 0.2629 0.7500 0.6518  8 O 2.37-2.63
3 Na 0.7371 0.2500 0.3482  8 O 2.37-2.63
4 Na 0.7629 0.7500 0.8482  8 O 2.37-2.63
5 Fe 0.0817 0.2500 0.9018  6 O 2.00-2.17
6 Fe 0.4183 0.7500 0.4018  6 O 2.00-2.17
7 Fe 0.5817 0.2500 0.5982  6 O 2.00-2.17
8 Fe 0.9183 0.7500 0.0982  6 O 2.00-2.17
9 Ru 0.0570 0.2500 0.3805  6 O 1.96-2.08
10 Ru 0.4430 0.7500 0.8805  6 O 1.96-2.08
11 Ru 0.5570 0.2500 0.1195  6 O 1.96-2.08
12 Ru 0.9430 0.7500 0.6195  6 O 1.96-2.08
13 O 0.0294 0.7500 0.7830  1 Ru 1.96, 2 Fe 2.04
14 O 0.0832 0.2500 0.5668  3 Ru 2.05-2.08
15 O 0.1168 0.7500 0.0194  3 Fe 2.00-2.06
16 O 0.1975 0.7500 0.3447  2 Ru 2.03, 1 Fe 2.17
17 O 0.3025 0.2500 0.8447  2 Ru 2.03, 1 Fe 2.17
18 O 0.3832 0.2500 0.5194  3 Fe 2.00-2.06
19 O 0.4168 0.7500 0.0668  3 Ru 2.05-2.08
20 O 0.4706 0.2500 0.2830  1 Ru 1.96, 2 Fe 2.04
21 O 0.5294 0.7500 0.7170  1 Ru 1.96, 2 Fe 2.04
22 O 0.5832 0.2500 0.9332  3 Ru 2.05-2.08
23 O 0.6168 0.7500 0.4806  3 Fe 2.00-2.06
24 O 0.6975 0.7500 0.1553  2 Ru 2.03, 1 Fe 2.17
25 O 0.8025 0.2500 0.6553  2 Ru 2.03, 1 Fe 2.17
26 O 0.8832 0.2500 0.9806  3 Fe 2.00-2.06
27 O 0.9168 0.7500 0.4332  3 Ru 2.05-2.08
28 O 0.9706 0.2500 0.2170  1 Ru 1.96, 2 Fe 2.04